This record from Alexandria via LeMat-Bulk describes an optimized crystal structure of Y2V2O7. The functional is PBE+U.

- ΔE to the lowest computed polymorph: 74 kJ/mol of formula units
- M_tot: 2.00 μB per formula unit

Cell: 5.8346 5.8346 5.2575 Å, 96.05 96.05 110.36°
Last column: nearest neighbours and their distance in Å.
Atoms (fractional coordinates):
Y: 0.1871 0.8129 0.0000  6 O 2.23-2.32
Y: 0.8129 0.1871 0.0000  6 O 2.23-2.32
V: 0.2546 0.2546 0.6016  4 O 1.81-1.88
V: 0.7454 0.7454 0.3984  4 O 1.81-1.88
O: 0.0763 0.0763 0.2801  1 V 1.88
O: 0.1120 0.4344 0.7937  1 V 1.84
O: 0.4344 0.1120 0.7937  1 V 1.84
O: 0.5000 0.5000 0.5000  2 V 1.81
O: 0.5656 0.8880 0.2063  1 V 1.84
O: 0.8880 0.5656 0.2063  1 V 1.84
O: 0.9237 0.9237 0.7199  1 V 1.88